*A*
# RbHgSb3

An optimized crystal structure of RbHgSb3 (PBE, Alexandria via LeMat-Bulk).

Cell and atoms, written as POSCAR:
```
RbHgSb3
1.0
5.738 0.000 0.000
0.000 5.738 0.000
0.000 0.000 5.738
Rb Hg Sb
1 1 3
Cartesian
0.000 0.000 0.000
2.869 2.869 2.869
0.000 2.869 2.869
2.869 0.000 2.869
2.869 2.869 0.000
```

=====

*B*
# RbHgSb3

An optimized crystal structure of RbHgSb3 (PBE, Alexandria via LeMat-Bulk).

Cell and atoms, written as POSCAR:
```
RbHgSb3
1.0
4.149 -5.524 0.000
4.149 5.524 0.000
0.000 0.000 7.365
Rb Hg Sb
2 2 6
Cartesian
4.149 2.788 5.524
4.149 -2.788 1.841
4.149 1.464 1.841
4.149 -1.464 5.524
4.149 4.470 1.841
2.202 0.000 0.000
2.202 0.000 3.682
6.096 0.000 0.000
6.096 0.000 3.682
4.149 -4.470 5.524
```

=====

Last place for stability: *A*

=====

*A*
# Rb3HgSb

An optimized crystal structure of Rb3HgSb (PBE, Alexandria via LeMat-Bulk).

Cell and atoms, written as POSCAR:
```
Rb3HgSb
1.0
-5.745 5.422 4.706
5.745 -5.422 4.706
5.745 5.422 -4.706
Rb Hg Sb
6 2 2
Cartesian
0.662 2.041 0.000
5.083 2.041 0.000
2.873 -1.160 3.308
2.873 6.583 -1.398
0.662 3.381 4.706
5.083 3.381 4.706
2.873 4.832 1.877
2.873 0.590 6.583
8.618 0.824 -0.277
-2.873 4.598 4.429
```

=====

*B*
# Rb3HgSb

An optimized crystal structure of Rb3HgSb (PBE, Alexandria via LeMat-Bulk).

Cell and atoms, written as POSCAR:
```
Rb3HgSb
1.0
8.387 0.000 0.000
0.000 9.599 0.000
-0.519 0.000 11.971
Rb Hg Sb
12 4 4
Cartesian
1.239 1.713 4.659
0.979 3.086 10.645
1.486 5.028 7.237
1.745 9.370 1.251
2.116 5.123 1.954
1.857 9.275 7.939
6.011 0.323 4.032
5.752 4.476 10.017
6.123 0.229 10.720
6.382 4.570 4.735
6.889 6.512 1.327
6.629 7.886 7.312
3.237 7.138 10.993
3.497 7.260 5.007
4.371 2.339 6.964
4.631 2.460 0.978
0.389 6.892 10.413
0.649 7.506 4.427
7.219 2.092 7.544
7.479 2.707 1.558
```

=====

Last place for stability: *A*

=====

*A*
# RbHg4Sb

An optimized crystal structure of RbHg4Sb (PBE, Alexandria via LeMat-Bulk).

Cell and atoms, written as POSCAR:
```
RbHg4Sb
1.0
0.000 4.489 4.489
4.489 0.000 4.489
4.489 4.489 0.000
Rb Hg Sb
1 4 1
Cartesian
0.000 0.000 0.000
3.372 3.372 3.372
5.606 5.606 3.372
5.606 3.372 5.606
3.372 5.606 5.606
6.734 6.734 6.734
```

=====

*B*
# RbHg4Sb

An optimized crystal structure of RbHg4Sb (PBE, Alexandria via LeMat-Bulk).

Cell and atoms, written as POSCAR:
```
RbHg4Sb
1.0
2.638 -12.667 0.000
2.638 12.667 0.000
0.000 0.000 6.504
Rb Hg Sb
2 8 2
Cartesian
2.638 10.088 4.878
2.638 -10.088 1.626
2.638 8.361 1.626
2.638 5.371 0.067
2.638 5.371 3.185
2.638 0.000 0.000
2.638 0.000 3.252
2.638 -5.371 3.319
2.638 -5.371 6.437
2.638 -8.361 4.878
2.638 2.232 4.878
2.638 -2.232 1.626
```

=====

Last place for stability: *A*

=====

*A*
# Rb2Hg2Sb

An optimized crystal structure of Rb2Hg2Sb (PBE, Alexandria via LeMat-Bulk).

Cell and atoms, written as POSCAR:
```
Rb2Hg2Sb
1.0
8.196 0.000 0.000
0.000 8.196 0.000
0.000 0.000 5.587
Rb Hg Sb
4 4 2
Cartesian
1.478 2.620 0.000
2.620 6.718 0.000
5.576 1.478 0.000
6.718 5.576 0.000
1.088 5.186 2.793
3.010 1.088 2.793
5.186 7.108 2.793
7.108 3.010 2.793
0.000 0.000 2.793
4.098 4.098 2.793
```

=====

*B*
# Rb2Hg2Sb

An optimized crystal structure of Rb2Hg2Sb (PBE, Alexandria via LeMat-Bulk).

Cell and atoms, written as POSCAR:
```
Rb2Hg2Sb
1.0
6.722 -2.483 0.000
6.722 2.483 0.000
-5.633 0.000 12.586
Rb Hg Sb
4 4 2
Cartesian
-0.808 0.000 4.960
-0.901 0.000 11.024
8.712 0.000 1.562
8.619 0.000 7.626
-4.727 0.000 11.434
2.994 0.000 4.844
4.817 0.000 7.742
12.538 0.000 1.151
4.890 0.000 2.369
2.921 0.000 10.217
```

=====

*C*
# Rb2Hg2Sb

An optimized crystal structure of Rb2Hg2Sb (PBE, Alexandria via LeMat-Bulk).

Cell and atoms, written as POSCAR:
```
Rb2Hg2Sb
1.0
10.210 0.000 0.000
0.000 10.210 0.000
0.000 0.000 3.817
Rb Hg Sb
4 4 2
Cartesian
1.862 3.243 0.000
3.243 8.348 0.000
6.968 1.862 0.000
8.348 6.968 0.000
1.155 6.260 1.908
3.950 1.155 1.908
6.260 9.055 1.908
9.055 3.950 1.908
0.000 0.000 0.000
5.105 5.105 0.000
```

=====

Last place for stability: *C*

=====

*A*
# RbHgSbSe3

An optimized crystal structure of RbHgSbSe3 (PBE, Alexandria via LeMat-Bulk).

Cell and atoms, written as POSCAR:
```
RbHgSbSe3
1.0
9.433 0.000 0.000
0.000 4.308 0.000
-2.609 0.000 10.124
Rb Hg Sb Se
2 2 2 6
Cartesian
1.136 1.077 2.381
5.688 3.231 7.744
-0.653 1.077 6.248
7.477 3.231 3.877
0.952 3.231 8.858
5.872 1.077 1.266
-0.979 1.077 8.928
0.602 3.231 5.193
3.783 3.231 1.343
3.041 1.077 8.782
6.222 1.077 4.931
7.803 3.231 1.196
```

=====

*B*
# RbHgSbSe3

An optimized crystal structure of RbHgSbSe3 (PBE, Alexandria via LeMat-Bulk).

Cell and atoms, written as POSCAR:
```
RbHgSbSe3
1.0
8.040 0.000 0.000
0.000 11.502 0.000
-2.535 0.000 8.721
Rb Hg Sb Se
4 4 4 12
Cartesian
-0.811 2.839 3.312
-2.079 2.911 7.672
7.584 8.590 1.049
6.317 8.662 5.409
2.089 8.617 4.172
0.821 8.635 8.532
4.684 2.866 0.189
3.416 2.884 4.549
1.711 0.003 6.414
2.978 5.748 2.054
3.794 11.499 2.306
2.527 5.754 6.667
0.864 6.330 3.534
-0.404 10.923 7.895
-0.531 6.342 8.397
0.736 10.911 4.037
1.173 2.605 6.262
2.440 3.146 1.902
3.065 8.356 6.819
4.332 8.897 2.459
4.769 0.591 4.684
6.036 5.160 0.323
5.909 0.579 0.826
4.641 5.172 5.186
```

=====

Last place for stability: *A*